Material: Hf2CoB
Method: DFT, GGA-PBE
State: optimized geometry

Unit cell a=5.5219 b=5.5219 c=5.5219 alpha=108.76 beta=108.76 gamma=110.90
Positions (direct):
Hf1 0.1043 0.6250 0.9793
Hf2 0.3750 0.3543 0.4793
Hf3 0.6457 0.1250 0.0207
Hf4 0.8750 0.8957 0.5207
Co1 0.2500 0.7500 0.5000
Co2 0.5000 0.5000 0.0000
B1 0.0000 0.0000 0.0000
B2 0.7500 0.2500 0.5000

Values from the calculation:
Space-group type   I-42d, No. 122
Offset from the most stable computed form   651 meV per atom
Fermi-level density of states   8.8 states/eV per cell
Formation enthalpy at 0 K   5.2 kcal/mol of atoms
V   16.19 A^3/atom



Material: HfCoB2
Method: DFT, GGA-PBE
State: optimized geometry

Unit cell a=3.2812 b=3.7749 c=3.7749 alpha=79.04 beta=90.00 gamma=90.00
Positions (direct):
Hf1 0.0000 0.0000 0.0000
Co1 0.5000 0.6065 0.6065
B1 0.5000 0.1226 0.4646
B2 0.5000 0.4646 0.1226

Values from the calculation:
Space-group type   Amm2, No. 38
Fermi-level density of states   2.7 states/eV per cell
Formation enthalpy at 0 K   -9.0 kcal/mol of atoms
V   11.48 A^3/atom



Material: Hf3CoB7
Method: DFT, GGA-PBE
State: optimized geometry

Unit cell a=7.5342 b=7.5342 c=8.9572 alpha=90.00 beta=90.00 gamma=155.11
Positions (direct):
Hf1 0.1063 0.8937 0.5546
Hf2 0.1063 0.8937 0.9454
Hf3 0.2471 0.7529 0.2500
Hf4 0.7529 0.2471 0.7500
Hf5 0.8937 0.1063 0.0546
Hf6 0.8937 0.1063 0.4454
Co1 0.0501 0.9499 0.2500
Co2 0.9499 0.0501 0.7500
B1 0.2735 0.7265 0.5334
B2 0.2735 0.7265 0.9666
B3 0.3683 0.6317 0.6514
B4 0.3683 0.6317 0.8486
B5 0.4416 0.5584 0.2500
B6 0.4837 0.5163 0.5931
B7 0.4837 0.5163 0.9069
B8 0.5163 0.4837 0.0931
B9 0.5163 0.4837 0.4069
B10 0.5584 0.4416 0.7500
B11 0.6317 0.3683 0.1514
B12 0.6317 0.3683 0.3486
B13 0.7265 0.2735 0.0334
B14 0.7265 0.2735 0.4666

Values from the calculation:
Space-group type   Cmcm, No. 63
Fermi-level density of states   5.0 states/eV per cell
Formation enthalpy at 0 K   -19.0 kcal/mol of atoms
V   9.73 A^3/atom



Material: HfCo8B4
Method: DFT, GGA-PBE
State: optimized geometry

Unit cell a=5.7293 b=5.7293 c=5.7293 alpha=98.29 beta=98.29 gamma=135.37
Positions (direct):
Hf1 0.0000 0.0000 0.0000
Co1 0.0000 0.3418 0.3418
Co2 0.0000 0.6582 0.6582
Co3 0.2752 0.5000 0.7752
Co4 0.3418 0.0000 0.3418
Co5 0.5000 0.2752 0.7752
Co6 0.5000 0.7248 0.2248
Co7 0.6582 0.0000 0.6582
Co8 0.7248 0.5000 0.2248
B1 0.0000 0.0000 0.5000
B2 0.0000 0.5000 0.0000
B3 0.5000 0.0000 0.0000
B4 0.5000 0.5000 0.5000

Values from the calculation:
Space-group type   I4/mmm, No. 139
Fermi-level density of states   12.4 states/eV per cell
Formation enthalpy at 0 K   -4.1 kcal/mol of atoms
V   9.40 A^3/atom



Material: HfCoB2
Method: DFT, GGA-PBE
State: optimized geometry

Unit cell a=7.2477 b=7.2477 c=7.2477 alpha=150.32 beta=150.32 gamma=42.47
Positions (direct):
Hf1 0.3750 0.6250 0.7500
Hf2 0.6250 0.3750 0.2500
Co1 0.1250 0.8750 0.2500
Co2 0.8750 0.1250 0.7500
B1 0.0000 0.0000 0.0000
B2 0.0000 0.0000 0.5000
B3 0.0000 0.5000 0.0000
B4 0.5000 0.0000 0.5000

Values from the calculation:
Space-group type   I4_1/amd, No. 141
Fermi-level density of states   6.7 states/eV per cell
Formation enthalpy at 0 K   -5.8 kcal/mol of atoms
V   11.64 A^3/atom



Material: HfCo5B3
Method: DFT, GGA-PBE
State: optimized geometry

Unit cell a=5.5776 b=5.5776 c=10.1005 alpha=90.00 beta=90.00 gamma=144.39
Positions (direct):
Hf1 0.1633 0.8367 0.7500
Hf2 0.8367 0.1633 0.2500
Co1 0.0000 0.0000 0.0000
Co2 0.0000 0.0000 0.5000
Co3 0.2065 0.7935 0.0695
Co4 0.2065 0.7935 0.4305
Co5 0.4392 0.5608 0.6440
Co6 0.4392 0.5608 0.8560
Co7 0.5608 0.4392 0.1440
Co8 0.5608 0.4392 0.3560
Co9 0.7935 0.2065 0.5695
Co10 0.7935 0.2065 0.9305
B1 0.1344 0.8656 0.2500
B2 0.3891 0.6109 0.0558
B3 0.3891 0.6109 0.4442
B4 0.6109 0.3891 0.5558
B5 0.6109 0.3891 0.9442
B6 0.8656 0.1344 0.7500

Values from the calculation:
Space-group type   Cmcm, No. 63
Fermi-level density of states   15.0 states/eV per cell
Formation enthalpy at 0 K   -6.0 kcal/mol of atoms
V   10.17 A^3/atom



Material: HfCo10B3
Method: DFT, GGA-PBE
State: optimized geometry

Unit cell a=7.4391 b=7.4391 c=7.4391 alpha=60.00 beta=60.00 gamma=60.00
Positions (direct):
Hf1 0.2500 0.2500 0.2500
Hf2 0.7500 0.7500 0.7500
Co1 0.0000 0.0000 0.3365
Co2 0.0000 0.0000 0.6635
Co3 0.0000 0.3365 0.0000
Co4 0.0000 0.3365 0.6635
Co5 0.0000 0.6635 0.0000
Co6 0.0000 0.6635 0.3365
Co7 0.1563 0.6146 0.6146
Co8 0.3365 0.0000 0.0000
Co9 0.3365 0.0000 0.6635
Co10 0.3365 0.6635 0.0000
Co11 0.3854 0.3854 0.3854
Co12 0.3854 0.3854 0.8437
Co13 0.3854 0.8437 0.3854
Co14 0.6146 0.1563 0.6146
Co15 0.6146 0.6146 0.1563
Co16 0.6146 0.6146 0.6146
Co17 0.6635 0.0000 0.0000
Co18 0.6635 0.0000 0.3365
Co19 0.6635 0.3365 0.0000
Co20 0.8437 0.3854 0.3854
B1 0.2734 0.2734 0.7266
B2 0.2734 0.7266 0.2734
B3 0.2734 0.7266 0.7266
B4 0.7266 0.2734 0.2734
B5 0.7266 0.2734 0.7266
B6 0.7266 0.7266 0.2734

Values from the calculation:
Space-group type   Fm-3m, No. 225
Fermi-level density of states   29.0 states/eV per cell
Formation enthalpy at 0 K   -6.1 kcal/mol of atoms
V   10.40 A^3/atom



Material: HfCoB2
Method: DFT, GGA-PBE
State: optimized geometry

Unit cell a=3.9130 b=3.9130 c=3.9130 alpha=60.00 beta=60.00 gamma=60.00
Positions (direct):
Hf1 0.0000 0.0000 0.0000
Co1 0.5000 0.5000 0.5000
B1 0.2500 0.2500 0.2500
B2 0.7500 0.7500 0.7500

Values from the calculation:
Space-group type   Fm-3m, No. 225
Fermi-level density of states   7.0 states/eV per cell
Formation enthalpy at 0 K   2.6 kcal/mol of atoms
V   10.59 A^3/atom



Number 1: total magnetization 0.00 μB/atom, VASP energy -8.198 eV per atom. Number 2: total magnetization 0.13 μB/atom, VASP energy -7.996 eV per atom. Number 3: total magnetization 0.00 μB/atom, VASP energy -8.432 eV per atom. Number 4: total magnetization 0.00 μB/atom, VASP energy -7.369 eV per atom. Number 5: total magnetization 0.00 μB/atom, VASP energy -7.855 eV per atom. Number 6: total magnetization 0.00 μB/atom, VASP energy -7.538 eV per atom. Number 7: total magnetization 0.68 μB/atom, VASP energy -7.483 eV per atom. Number 8: total magnetization 0.00 μB/atom, VASP energy -7.493 eV per atom.